Density functional theory data (GGA-PBE) for PmHo3Pb2 after structural relaxation.

Computed properties:
* VASP energy: -4.718 eV per atom
* formation energy: -0.40 eV/atom
* magnetic moment: 0.0 μB per cell
* energy above the lowest structure with this stoichiometry: 0.00 kcal/mol of atoms

abc: 4.5649 4.5649 8.6166
angles: 90.00 90.00 90.00
Last column: nearest neighbours and their distance in Å.
Space group P-4m2 (No. 115)
One atom of each set of equivalent atoms:
Pm (0.0000, 0.0000, 0.0000) [1 per cell]  4 Ho 3.23, 4 Pb 3.38
Ho (0.0000, 0.5000, 0.3427) [2 per cell]  5 Pb 3.17-3.26
Ho (0.5000, 0.5000, 0.0000) [1 per cell]  4 Pm 3.23, 4 Pb 3.38
Pb (0.0000, 0.5000, 0.7110) [2 per cell]  7 Ho 3.17-3.38, 2 Pm 3.38